No. 1
A relaxed GeBiP2Pb crystal. Source: Alexandria via LeMat-Bulk, functional PBE.

Calculated values
Calculated volume (Å³ per atom): 32.65
Formation energy (eV/atom): 1.2434
DFT total energy (eV/atom): -3.36

a b c (Å): 5.249 5.249 5.925
angles (deg): 90.00 90.00 90.00
Space group P4/mmm (No. 123)
One atom of each set of equivalent atoms:
Ge  0.000  0.000  0.000 [1 per cell]
Bi  0.500  0.500  0.500 [1 per cell]
P  0.000  0.500  0.500 [2 per cell]
Pb  0.500  0.500  0.000 [1 per cell]

No. 2
A relaxed Re2GeBiP crystal. Source: Alexandria via LeMat-Bulk, functional PBE.

Calculated values
Calculated volume (Å³ per atom): 27.36
Formation energy (eV/atom): 2.7266
DFT total energy (eV/atom): -5.03

a b c (Å): 5.144 5.144 5.170
angles (deg): 90.00 90.00 90.00
Space group P4/mmm (No. 123)
One atom of each set of equivalent atoms:
Re  0.000  0.500  0.000 [2 per cell]
Ge  0.000  0.000  0.500 [1 per cell]
Bi  0.500  0.500  0.000 [1 per cell]
P  0.500  0.500  0.500 [1 per cell]

No. 3
A relaxed GeBiPS2 crystal. Source: Alexandria via LeMat-Bulk, functional PBE.

Calculated values
Calculated volume (Å³ per atom): 21.40
Energy relative to the lowest polymorph listed for this composition (eV/atom): 0.000
DFT total energy (eV/atom): -4.07
Uncorrected formation energy (eV per atom): 0.364

a b c (Å): 4.742 4.742 4.759
angles (deg): 90.00 90.00 90.00
Space group P4/mmm (No. 123)
One atom of each set of equivalent atoms:
Ge  0.000  0.000  0.000 [1 per cell]
Bi  0.500  0.500  0.500 [1 per cell]
P  0.000  0.000  0.500 [1 per cell]
S  0.000  0.500  0.000 [2 per cell]

No. 4
A relaxed GeBiP2S crystal. Source: Alexandria via LeMat-Bulk, functional PBE.

Calculated values
Calculated volume (Å³ per atom): 28.44
Energy relative to the lowest polymorph listed for this composition (eV/atom): 0.619
DFT total energy (eV/atom): -3.50
Uncorrected formation energy (eV per atom): 1.192

a b c (Å): 5.226 5.226 5.207
angles (deg): 90.00 90.00 90.00
Space group P4/mmm (No. 123)
One atom of each set of equivalent atoms:
Ge  0.000  0.000  0.000 [1 per cell]
Bi  0.500  0.500  0.500 [1 per cell]
P  0.000  0.500  0.500 [2 per cell]
S  0.500  0.500  0.000 [1 per cell]